# ZrSnIO2 | the Alexandria database | SCAN | PBEsol geometry
# - ρ: 6.07 g/cm³
# - Crystal system: tetragonal
# - Raw formation energy: -0.2879 eV/atom
# - VASP energy: -117.26 eV for the cell shown
# - Calculated volume: 20.17 Å³/atom
# - M_tot: 2.20 μB per formula unit
data_ZrSnIO2
_chemical_formula_sum 'Zr1 Sn1 I1 O2'
_symmetry_space_group_name_H-M 'P 4/m m m'
_symmetry_Int_Tables_number 123
_symmetry_space_group_name_Hall '-P 4 2'
_cell_length_a 4.075
_cell_length_b 4.075
_cell_length_c 6.071
_cell_angle_alpha 90.00
_cell_angle_beta 90.00
_cell_angle_gamma 90.00
loop_
_atom_site_label
_atom_site_type_symbol
_atom_site_fract_x
_atom_site_fract_y
_atom_site_fract_z
Zr1 Zr 0.000 0.000 0.000
Sn1 Sn 0.500 0.500 0.500
I1 I 0.500 0.500 0.000
O1 O 0.000 0.500 0.500